NaIn6Sn4 | PBE | relaxed

```
data_NaIn6Sn4
_cell_length_a 7.923
_cell_length_b 7.883
_cell_length_c 7.883
_cell_angle_alpha 88.94
_cell_angle_beta 120.44
_cell_angle_gamma 120.44
_symmetry_space_group_name_H-M 'P 1'
_symmetry_Int_Tables_number 1
loop_
_symmetry_equiv_pos_as_xyz
'x,y,z'
loop_
_atom_site_label
_atom_site_type_symbol
_atom_site_fract_x
_atom_site_fract_y
_atom_site_fract_z
Na1 Na 0.000 0.004 0.004
In1 In 0.000 0.800 0.497
In2 In 0.000 0.497 0.800
In3 In 0.701 0.200 0.200
In4 In 0.500 0.998 0.498
In5 In 0.299 0.499 0.499
In6 In 0.500 0.498 0.998
Sn1 Sn 0.000 0.152 0.606
Sn2 Sn 0.551 0.397 0.397
Sn3 Sn 0.000 0.606 0.152
Sn4 Sn 0.449 0.846 0.846
```

Formation energy (meV per atom): 37
Uncorrected energy (eV/atom): -3.032